DFT (PBE-GGA) results for crystalline HfAl2Pd9 at its relaxed geometry.

```
HfAl2Pd9
1.0
3.9619 0.0000 0.0000
0.0000 3.9619 0.0000
0.0000 0.0000 11.7302
Hf Al Pd
1 2 9
direct
0.0000 0.0000 0.0000
0.0000 0.0000 0.3402
0.0000 0.0000 0.6598
0.0000 0.5000 0.1717
0.0000 0.5000 0.5000
0.0000 0.5000 0.8283
0.5000 0.0000 0.1717
0.5000 0.0000 0.5000
0.5000 0.0000 0.8283
0.5000 0.5000 0.0000
0.5000 0.5000 0.3353
0.5000 0.5000 0.6647
```

As for the energy of formation from the pure elements: -0.71 eV per atom. For the magnetic moment, the calculation gives 0.0 μB/cell.